# 1
Here is a relaxed structure of La5PrIr3 from Alexandria. Energies are from PBE-GGA.

DFT formation energy: -0.598 eV per atom
ρ: 7.7 g/cm3

Cell lengths 12.994, 9.636, 10.602 Å; angles 90.00, 114.03, 90.00 degrees
Space group C2/m (No. 12)
Symmetry-distinct sites (fractional):
La  0.000  0.197  0.000
La  0.067  0.000  0.370
La  0.166  0.305  0.666
La  0.231  0.500  0.036
Pr  0.103  0.500  0.299
Ir  0.000  0.500  0.000
Ir  0.000  0.500  0.500
Ir  0.164  0.000  0.667
Ir  0.167  0.000  0.166

# 2
Here is a relaxed structure of LaPr3Ir8 from Alexandria. Energies are from PBE-GGA.

DFT formation energy: -0.677 eV per atom
ρ: 15.1 g/cm3

Cell lengths 5.4652, 5.4652, 26.7391 Å; angles 90.00, 90.00, 120.00 degrees
Space group R3m (No. 160, hexagonal axes)
Symmetry-distinct sites (fractional):
La  0.0000  0.0000  0.0000
Pr  0.0000  0.0000  0.3750
Pr  0.0000  0.0000  0.5000
Pr  0.0000  0.0000  0.8751
Ir  0.0000  0.0000  0.1875
Ir  0.0000  0.0000  0.6875
Ir  0.0001  0.5001  0.4377
Ir  0.0001  0.5000  0.9373

# 3
Here is a relaxed structure of La3PrIr from Alexandria. Energies are from PBE-GGA.

Energy above the lowest structure with this stoichiometry: 0.0000 eV per atom
DFT formation energy: -0.305 eV per atom
ρ: 7.0 g/cm3

Cell lengths 8.017, 6.797, 6.540 Å; angles 90.00, 90.00, 90.00 degrees
Space group Pmn2_1 (No. 31)
Symmetry-distinct sites (fractional):
La  0.000  0.150  0.000
La  0.248  0.677  0.000
Pr  0.000  0.845  0.505
Ir  0.000  0.495  0.249

# 4
Here is a relaxed structure of La3PrIr8 from Alexandria. Energies are from PBE-GGA.

DFT formation energy: -0.708 eV per atom
ρ: 15.0 g/cm3

Cell lengths 5.4713, 5.4713, 26.7626 Å; angles 90.00, 90.00, 120.00 degrees
Space group R3m (No. 160, hexagonal axes)
Symmetry-distinct sites (fractional):
La  0.0000  0.0000  0.0000
La  0.0000  0.0000  0.1248
La  0.0000  0.0000  0.6252
Pr  0.0000  0.0000  0.5001
Ir  0.0000  0.0000  0.3125
Ir  0.0000  0.0000  0.8126
Ir  0.0001  0.5001  0.0627
Ir  0.0000  0.5000  0.5623

# 5
Here is a relaxed structure of La3PrIr from Alexandria. Energies are from PBE-GGA.

Energy above the lowest structure with this stoichiometry: 0.0487 eV per atom
DFT formation energy: -0.256 eV per atom
ρ: 7.5 g/cm3

Cell lengths 5.035, 10.221, 6.946 Å; angles 90.00, 111.15, 90.00 degrees
Space group P2_1/m (No. 11)
Symmetry-distinct sites (fractional):
La  0.128  0.000  0.256
La  0.370  0.250  0.739
Pr  0.366  0.750  0.731
Ir  0.001  0.250  0.001

# 6
Here is a relaxed structure of La2Pr2Ir3 from Alexandria. Energies are from PBE-GGA.

DFT formation energy: -0.614 eV per atom
ρ: 10.4 g/cm3

Cell lengths 11.419, 4.431, 9.083 Å; angles 90.00, 127.96, 90.00 degrees
Space group C2/m (No. 12)
Symmetry-distinct sites (fractional):
La  0.194  0.000  0.093
Pr  0.086  0.500  0.382
Ir  0.000  0.500  0.000
Ir  0.152  0.000  0.641

# 7
Here is a relaxed structure of La2Pr2IrPt2 from Alexandria. Energies are from PBE-GGA.

DFT formation energy: -0.845 eV per atom
ρ: 9.3 g/cm3

Cell lengths 4.068, 7.519, 7.718 Å; angles 115.20, 90.03, 105.57 degrees
Space group P-1 (No. 2)
Symmetry-distinct sites (fractional):
La  0.026  0.052  0.260
Pr  0.282  0.565  0.227
Ir  0.500  0.000  0.500
Pt  0.382  0.765  0.952

# 8
Here is a relaxed structure of LaPrTlIr from Alexandria. Energies are from PBE-GGA.

DFT formation energy: -0.379 eV per atom
ρ: 10.2 g/cm3

Cell lengths 3.873, 5.004, 5.666 Å; angles 90.00, 90.00, 90.00 degrees
Space group Pmm2 (No. 25)
Symmetry-distinct sites (fractional):
La  0.000  0.000  0.000
Pr  0.000  0.500  0.479
Tl  0.500  0.000  0.528
Ir  0.500  0.500  0.869

Which value of ρ does entry 3 give? 7.0 g/cm3